First-principles (PBE) data for a geometry-optimized TcTeSe2 structure, as listed in OQMD via LeMat-Bulk.

Summary:
The calculation puts the magnetic moment at 0.00 μB/f.u. The calculation puts the calculated total energy at -5.352 eV/atom. The crystal system is triclinic. Its volume is 195.9 Å³ per cell.

a b c (Å): 5.6985 6.2139 6.2695
angles (deg): 118.07 90.01 90.44
Closest atoms and distances in Å follow each position.
Element x y z (fractional)
Tc 0.0017 0.2449 0.1184  4 Se 2.43-2.63, 1 Tc 2.69, 1 Te 2.69
Tc 0.9983 0.7551 0.8816  4 Se 2.43-2.63, 1 Tc 2.69, 1 Te 2.69
Te 0.1928 0.6874 0.4638  1 Se 2.65, 2 Tc 2.69-2.79
Te 0.8072 0.3126 0.5362  1 Se 2.65, 2 Tc 2.69-2.79
Se 0.1821 0.3348 0.7964  2 Tc 2.55-2.63, 1 Te 2.65
Se 0.3211 0.9983 0.1377  2 Tc 2.43, 1 Se 2.68
Se 0.6789 0.0017 0.8623  2 Tc 2.43, 1 Se 2.68
Se 0.8179 0.6652 0.2036  2 Tc 2.55-2.63, 1 Te 2.65


First-principles (PBE) data for a geometry-optimized NaDyAgS3 structure, as listed in OQMD via LeMat-Bulk.

Summary:
The calculation puts the magnetic moment at 0.11 μB/f.u. The calculation puts the calculated total energy at -4.581 eV/atom. The crystal system is orthorhombic. Its volume is 273.8 Å³ per cell.

a b c (Å): 6.8794 6.8794 10.4999
angles (deg): 90.00 90.00 146.57
Closest atoms and distances in Å follow each position.
Element x y z (fractional)
Na 0.2493 0.7507 0.7500  6 S 2.95-3.20
Na 0.7507 0.2493 0.2500  6 S 2.95-3.20
Dy 0.0000 0.0000 0.0000  6 S 2.75-2.85
Dy 0.0000 0.0000 0.5000  6 S 2.75-2.85
Ag 0.4665 0.5335 0.2500  4 S 2.46-2.51
Ag 0.5335 0.4665 0.7500  4 S 2.46-2.51
S 0.0842 0.9158 0.2500  2 Ag 2.51
S 0.3619 0.6381 0.0556  1 Ag 2.46, 2 Dy 2.75
S 0.3619 0.6381 0.4444  1 Ag 2.46, 2 Dy 2.75
S 0.6381 0.3619 0.5556  1 Ag 2.46, 2 Dy 2.75
S 0.6381 0.3619 0.9444  1 Ag 2.46, 2 Dy 2.75
S 0.9158 0.0842 0.7500  2 Ag 2.51


First-principles (PBE) data for a geometry-optimized PrCdInS3 structure, as listed in OQMD via LeMat-Bulk.

Summary:
The calculation puts the magnetic moment at 0.00 μB/f.u. The calculation puts the calculated total energy at -4.498 eV/atom. The crystal system is orthorhombic. Its volume is 323.6 Å³ per cell.

a b c (Å): 7.2423 7.2423 11.0905
angles (deg): 90.00 90.00 146.20
Closest atoms and distances in Å follow each position.
Element x y z (fractional)
Pr 0.0000 0.0000 0.0000  6 S 2.87-2.94
Pr 0.0000 0.0000 0.5000  6 S 2.87-2.94
Cd 0.4561 0.5439 0.7500  4 S 2.50-2.63
Cd 0.5439 0.4561 0.2500  4 S 2.50-2.63
In 0.2585 0.7415 0.2500  6 S 3.17-3.47
In 0.7415 0.2585 0.7500  6 S 3.17-3.47
S 0.0701 0.9299 0.7500  2 Cd 2.63, 2 Pr 2.94
S 0.3658 0.6342 0.5551  1 Cd 2.50
S 0.3658 0.6342 0.9449  1 Cd 2.50
S 0.6342 0.3658 0.0551  1 Cd 2.50
S 0.6342 0.3658 0.4449  1 Cd 2.50
S 0.9299 0.0701 0.2500  2 Cd 2.63, 2 Pr 2.94